No. 1
The following is a DFT calculation (PBE) of a relaxed structure of Ta11Os4.

a = 9.9617 Å, b = 9.9617 Å, c = 5.2153 Å
α = 90.00°, β = 90.00°, γ = 90.00°
Fractional coordinates of all 30 atoms:
Ta 0.0000 0.0000 0.0000
Ta 0.0302 0.3701 0.5000
Ta 0.1026 0.1026 0.5000
Ta 0.1299 0.5302 0.0000
Ta 0.1887 0.8113 0.2510
Ta 0.1887 0.8113 0.7490
Ta 0.3113 0.3113 0.2490
Ta 0.3113 0.3113 0.7510
Ta 0.3701 0.0302 0.5000
Ta 0.3974 0.6026 0.0000
Ta 0.4698 0.8701 0.0000
Ta 0.5000 0.5000 0.5000
Ta 0.5302 0.1299 0.0000
Ta 0.6026 0.3974 0.0000
Ta 0.6299 0.9698 0.5000
Ta 0.6887 0.6887 0.2490
Ta 0.6887 0.6887 0.7510
Ta 0.8113 0.1887 0.2510
Ta 0.8113 0.1887 0.7490
Ta 0.8701 0.4698 0.0000
Ta 0.8974 0.8974 0.5000
Ta 0.9698 0.6299 0.5000
Os 0.0606 0.2580 0.0000
Os 0.2420 0.5606 0.5000
Os 0.2580 0.0606 0.0000
Os 0.4394 0.7580 0.5000
Os 0.5606 0.2420 0.5000
Os 0.7420 0.9394 0.0000
Os 0.7580 0.4394 0.5000
Os 0.9394 0.7420 0.0000

energy of formation: -4.6 eV/f.u.
SG: P4_2/mnm
spin magnetization: 0.0 μB per formula unit

No. 2
The following is a DFT calculation (PBE) of a relaxed structure of Li2HfTlH.

a = 4.1728 Å, b = 4.1728 Å, c = 4.4497 Å
α = 90.00°, β = 90.00°, γ = 90.00°
Fractional coordinates of all 5 atoms:
Li 0.0000 0.5000 0.0000
Li 0.5000 0.0000 0.0000
Hf 0.0000 0.0000 0.5000
Tl 0.5000 0.5000 0.5000
H 0.0000 0.0000 0.0000

SG: P4/mmm
spin magnetization: 0.0 μB per formula unit
VASP energy: -4.01 eV per atom

No. 3
The following is a DFT calculation (PBE) of a relaxed structure of FeOsRu2.

a = 4.6240 Å, b = 4.6240 Å, c = 2.6877 Å
α = 90.00°, β = 90.00°, γ = 109.42°
Fractional coordinates of all 4 atoms:
Fe 0.0000 0.0000 0.0000
Os 0.5000 0.5000 0.0000
Ru 0.0000 0.5000 0.5000
Ru 0.5000 0.0000 0.5000

energy of formation: 0.6 eV/f.u.
SG: Cmmm
spin magnetization: 1.8 μB per formula unit

No. 4
The following is a DFT calculation (PBE) of a relaxed structure of Pr4Nd4Y5.

a = 9.6669 Å, b = 9.6669 Å, c = 9.6669 Å
α = 94.07°, β = 94.07°, γ = 149.08°
Fractional coordinates of all 13 atoms:
Pr 0.0786 0.6163 0.6949
Pr 0.3837 0.0786 0.4623
Pr 0.6163 0.9214 0.5377
Pr 0.9214 0.3837 0.3051
Nd 0.1533 0.2294 0.3827
Nd 0.2294 0.8467 0.0762
Nd 0.7706 0.1533 0.9238
Nd 0.8467 0.7706 0.6173
Y 0.0000 0.0000 0.0000
Y 0.3103 0.4618 0.7721
Y 0.4618 0.6897 0.1515
Y 0.5382 0.3103 0.8485
Y 0.6897 0.5382 0.2279

energy of formation: 0.2 eV/f.u.
SG: I4/m
spin magnetization: 0.0 μB per formula unit

No. 5
The following is a DFT calculation (PBE) of a relaxed structure of Te2PtF.

a = 7.7194 Å, b = 7.7194 Å, c = 7.7194 Å
α = 30.97°, β = 30.97°, γ = 30.97°
Fractional coordinates of all 4 atoms:
Te 0.1067 0.1067 0.1067
Te 0.8933 0.8933 0.8933
Pt 0.5000 0.5000 0.5000
F 0.0000 0.0000 0.0000

SG: R-3m
spin magnetization: 0.0 μB per formula unit
ΔE to the lowest computed polymorph: 120 meV per atom

No. 6
The following is a DFT calculation (PBE) of a relaxed structure of Ac5PrHo.

a = 8.6623 Å, b = 8.6623 Å, c = 8.6623 Å
α = 138.20°, β = 111.53°, γ = 83.55°
Fractional coordinates of all 7 atoms:
Ac 0.0000 0.0000 0.0000
Ac 0.2489 0.7489 0.5000
Ac 0.3145 0.5000 0.8145
Ac 0.6855 0.5000 0.1855
Ac 0.7511 0.2511 0.5000
Pr 0.5000 0.0000 0.5000
Ho 0.0000 0.5000 0.5000

energy of formation: 5.9 eV/f.u.
SG: Immm
spin magnetization: 0.0 μB per formula unit

No. 7
The following is a DFT calculation (PBE) of a relaxed structure of CeTl2AsS4.

a = 8.3485 Å, b = 8.3485 Å, c = 8.3485 Å
α = 120.83°, β = 118.84°, γ = 90.29°
Fractional coordinates of all 16 atoms:
Ce 0.0000 0.0000 0.0000
Ce 0.5000 0.0000 0.5000
Tl 0.0000 0.5000 0.5000
Tl 0.5000 0.0000 0.0000
Tl 0.5000 0.5000 0.0000
Tl 0.5000 0.5000 0.5000
As 0.0000 0.0000 0.5000
As 0.0000 0.5000 0.0000
S 0.1933 0.2387 0.9546
S 0.2160 0.7613 0.4546
S 0.2256 0.1987 0.4731
S 0.2256 0.7525 0.0269
S 0.7744 0.2475 0.9731
S 0.7744 0.8013 0.5269
S 0.7840 0.2387 0.5454
S 0.8067 0.7613 0.0454

SG: Imma
spin magnetization: 0.8 μB per formula unit
VASP energy: -4.71 eV per atom

No. 8
The following is a DFT calculation (PBE) of a relaxed structure of ThScHgAu.

a = 5.1665 Å, b = 5.1665 Å, c = 5.1665 Å
α = 60.00°, β = 60.00°, γ = 60.00°
Fractional coordinates of all 4 atoms:
Th 0.0000 0.0000 0.0000
Sc 0.5000 0.5000 0.5000
Hg 0.2500 0.2500 0.2500
Au 0.7500 0.7500 0.7500

energy of formation: -1.7 eV/f.u.
SG: F-43m
spin magnetization: 0.6 μB per formula unit

No. 9
The following is a DFT calculation (PBE) of a relaxed structure of ThGa6Co6.

a = 6.5200 Å, b = 6.5200 Å, c = 6.5200 Å
α = 134.39°, β = 101.66°, γ = 95.64°
Fractional coordinates of all 13 atoms:
Th 0.0000 0.0000 0.0000
Ga 0.1931 0.6931 0.5000
Ga 0.3473 0.0000 0.3473
Ga 0.3493 0.3493 0.0000
Ga 0.6507 0.6507 0.0000
Ga 0.6527 0.0000 0.6527
Ga 0.8069 0.3069 0.5000
Co 0.0000 0.0000 0.5000
Co 0.0000 0.5000 0.0000
Co 0.2370 0.5000 0.7370
Co 0.5000 0.0000 0.0000
Co 0.5000 0.5000 0.5000
Co 0.7630 0.5000 0.2630

energy of formation: -3.9 eV/f.u.
SG: Immm
spin magnetization: 2.0 μB per formula unit

No. 10
The following is a DFT calculation (PBE) of a relaxed structure of La2TlGaPd6.

a = 5.7400 Å, b = 5.7400 Å, c = 8.9853 Å
α = 108.58°, β = 108.58°, γ = 60.02°
Fractional coordinates of all 10 atoms:
La 0.2121 0.2121 0.1361
La 0.7879 0.7879 0.8639
Tl 0.0000 0.0000 0.5000
Ga 0.5000 0.5000 0.0000
Pd 0.2362 0.7444 0.2242
Pd 0.2557 0.2557 0.7759
Pd 0.2556 0.7638 0.7758
Pd 0.7444 0.2362 0.2242
Pd 0.7443 0.7443 0.2241
Pd 0.7638 0.2556 0.7758

energy of formation: -5.8 eV/f.u.
SG: C2/m
spin magnetization: 0.0 μB per formula unit

No. 11
The following is a DFT calculation (PBE) of a relaxed structure of NpTeI.

a = 7.6897 Å, b = 7.6897 Å, c = 7.6897 Å
α = 151.37°, β = 151.37°, γ = 40.93°
Fractional coordinates of all 3 atoms:
Np 0.0000 0.0000 0.0000
Te 0.3842 0.3842 0.0000
I 0.6383 0.6383 0.0000

SG: I4mm
spin magnetization: 4.0 μB per formula unit
ΔE to the lowest computed polymorph: 116 meV per atom

No. 12
The following is a DFT calculation (PBE) of a relaxed structure of Dy2Ho12Pu.

a = 6.3574 Å, b = 6.3574 Å, c = 24.4880 Å
α = 90.00°, β = 90.00°, γ = 90.00°
Fractional coordinates of all 30 atoms:
Dy 0.2500 0.7500 0.2274
Dy 0.2500 0.7500 0.7726
Dy 0.7500 0.2500 0.2274
Dy 0.7500 0.2500 0.7726
Ho 0.0642 0.5642 0.3907
Ho 0.0642 0.9358 0.6093
Ho 0.0813 0.5813 0.0617
Ho 0.0813 0.9187 0.9383
Ho 0.2500 0.2500 0.1623
Ho 0.2500 0.2500 0.2887
Ho 0.2500 0.2500 0.7113
Ho 0.2500 0.2500 0.8377
Ho 0.4187 0.5813 0.9383
Ho 0.4187 0.9187 0.0617
Ho 0.4358 0.5642 0.6093
Ho 0.4358 0.9358 0.3907
Ho 0.5642 0.0642 0.6093
Ho 0.5642 0.4358 0.3907
Ho 0.5813 0.0813 0.9383
Ho 0.5813 0.4187 0.0617
Ho 0.7500 0.7500 0.1623
Ho 0.7500 0.7500 0.2887
Ho 0.7500 0.7500 0.7113
Ho 0.7500 0.7500 0.8377
Ho 0.9187 0.0813 0.0617
Ho 0.9187 0.4187 0.9383
Ho 0.9358 0.0642 0.3907
Ho 0.9358 0.4358 0.6093
Pu 0.2500 0.7500 0.5000
Pu 0.7500 0.2500 0.5000

energy of formation: 8.2 eV/f.u.
SG: P4/nbm
spin magnetization: 0.1 μB per formula unit

- Which value of spin magnetization does entry 2 give?
  0.0 μB per formula unit

- What is the spin magnetization in the eighth record?
  0.6 μB per formula unit

- The highest spin magnetization belongs to which entry?
  NpTeI

Repeat the third record exactly.
The following is a DFT calculation (PBE) of a relaxed structure of FeOsRu2.

a = 4.6240 Å, b = 4.6240 Å, c = 2.6877 Å
α = 90.00°, β = 90.00°, γ = 109.42°
Fractional coordinates of all 4 atoms:
Fe 0.0000 0.0000 0.0000
Os 0.5000 0.5000 0.0000
Ru 0.0000 0.5000 0.5000
Ru 0.5000 0.0000 0.5000

energy of formation: 0.6 eV/f.u.
SG: Cmmm
spin magnetization: 1.8 μB per formula unit